No. 1
Computed, not measured: crystalline Na2CuC2O6 at its relaxed geometry at the PBEsol level of DFT.

Unit cell a=5.665 b=6.143 c=8.083 alpha=90.00 beta=90.00 gamma=115.22
Site moments in Bohr magnetons follow the coordinates.
Fractional positions:
Na1 0.363 0.186 0.592  0.00
Na2 0.637 0.314 0.092  0.00
Na3 0.637 0.814 0.408  0.00
Na4 0.363 0.686 0.908  0.00
Cu1 0.000 0.500 0.500  0.58
Cu2 0.000 0.000 0.000  0.58
C1 0.194 0.870 0.268  0.00
C2 0.806 0.630 0.768  0.00
C3 0.806 0.130 0.732  0.00
C4 0.194 0.370 0.232  0.00
O1 0.379 0.902 0.168  0.02
O2 0.621 0.598 0.668  0.02
O3 0.214 0.326 0.074  0.08
O4 0.786 0.174 0.574  0.08
O5 0.786 0.674 0.926  0.08
O6 0.214 0.826 0.426  0.08
O7 0.980 0.382 0.278  0.09
O8 0.020 0.118 0.778  0.09
O9 0.020 0.618 0.722  0.09
O10 0.980 0.882 0.222  0.09
O11 0.379 0.402 0.332  0.02
O12 0.621 0.098 0.832  0.02

VASP energy: -6.707 eV/atom

***

No. 2
Computed, not measured: crystalline K2Au at its relaxed geometry at the PBEsol level of DFT.

Unit cell a=3.773 b=5.606 c=5.606 alpha=90.00 beta=90.00 gamma=90.00
Fractional positions:
K1 0.500 0.000 0.500
K2 0.500 0.500 0.000
Au1 0.000 0.000 0.000

ΔE_f: -1.92 kcal/mol of atoms

***

No. 3
Computed, not measured: crystalline SbTeW2 at its relaxed geometry at the PBEsol level of DFT.

Unit cell a=3.204 b=3.204 c=7.992 alpha=90.00 beta=90.00 gamma=90.00
Fractional positions:
Sb1 0.000 0.000 0.443
Te1 0.500 0.500 0.813
W1 0.000 0.000 0.029
W2 0.500 0.500 0.215

excess energy over the best structure of this formula in the dataset: 0 meV/atom

***

No. 4
Computed, not measured: crystalline IrRu5 at its relaxed geometry at the PBEsol level of DFT.

Unit cell a=3.777 b=3.774 c=5.968 alpha=90.00 beta=108.45 gamma=90.00
Fractional positions:
Ir1 0.500 0.000 0.000
Ru1 0.332 0.500 0.665
Ru2 0.168 0.000 0.335
Ru3 0.000 0.500 0.000
Ru4 0.832 0.000 0.665
Ru5 0.668 0.500 0.335

ΔE_f: 1.32 kcal/mol of atoms
excess energy over the best structure of this formula in the dataset: 95 meV/atom

***

No. 5
Computed, not measured: crystalline BeOsAu2 at its relaxed geometry at the PBEsol level of DFT.

Unit cell a=3.100 b=4.349 c=4.349 alpha=90.00 beta=90.00 gamma=90.00
Fractional positions:
Os1 0.500 0.000 0.000
Au1 0.000 0.000 0.500
Au2 0.000 0.500 0.000
Be1 0.500 0.500 0.500

ΔE_f: 11.13 kcal/mol of atoms

***

No. 6
Computed, not measured: crystalline SrCuB3 at its relaxed geometry at the PBEsol level of DFT.

Unit cell a=4.038 b=4.038 c=4.038 alpha=90.00 beta=90.00 gamma=90.00
Fractional positions:
Sr1 0.500 0.500 0.500
B1 0.000 0.500 0.000
B2 0.000 0.000 0.500
B3 0.500 0.000 0.000
Cu1 0.000 0.000 0.000

ΔE_f: 24.91 kcal/mol of atoms